[1]
Below is a relaxed Mg3Tl8In2 crystal, with properties calculated at the PBE level.

Cell lengths 14.0052, 8.7446, 6.3525 Å; angles 90.00, 98.07, 90.00 degrees
Space group C2/m (No. 12)
Unique sites:
1 Mg 0.0000 0.0000 0.0000 x2
2 Mg 0.0000 0.1783 0.5000 x4
3 Tl 0.1014 0.5000 0.4089 x4
4 Tl 0.1209 0.3155 0.9428 x8
5 Tl 0.1920 0.0000 0.2776 x4
6 In 0.1853 0.0000 0.7532 x4

Computed properties:
As for the electronic total energy: -56.59 eV/cell.


[2]
Below is a relaxed ThIrRh crystal, with properties calculated at the PBE level.

Cell lengths 5.4142, 5.4465, 7.7124 Å; angles 90.00, 90.00, 90.00 degrees
Space group Imma (No. 74)
Unique sites:
1 Th 0.0000 0.2500 0.1263 x4
2 Ir 0.0000 0.0000 0.5000 x4
3 Rh 0.2500 0.2500 0.7500 x4

Computed properties:
As for the energy above the most stable polymorph in this dataset: 0 meV per atom.


[3]
Below is a relaxed Li2PmSiGe2 crystal, with properties calculated at the PBE level.

Cell lengths 4.1518, 7.4196, 7.8838 Å; angles 90.00, 90.00, 90.00 degrees
Space group Pmc2_1 (No. 26)
Unique sites:
1 Li 0.0000 0.0782 0.0000 x2
2 Li 0.5000 0.1467 0.6675 x2
3 Pm 0.5000 0.4644 0.0035 x2
4 Si 0.0000 0.3378 0.2673 x2
5 Ge 0.0000 0.3401 0.7423 x2
6 Ge 0.5000 0.1603 0.3151 x2

Computed properties:
The uncorrected formation energy is -0.42 eV/atom.


[4]
Below is a relaxed TcIrRu2 crystal, with properties calculated at the PBE level.

Cell lengths 2.7205, 2.7205, 7.6905 Å; angles 90.00, 90.00, 90.00 degrees
Space group P4/mmm (No. 123)
Unique sites:
1 Tc 0.0000 0.0000 0.0000 x1
2 Ir 0.0000 0.0000 0.5000 x1
3 Ru 0.5000 0.5000 0.2488 x2

Computed properties:
As for the energy above the most stable polymorph in this dataset: 147 meV per atom.


[5]
Below is a relaxed MgTaS2Cl crystal, with properties calculated at the PBE level.

Cell lengths 4.8332, 4.8332, 4.8017 Å; angles 90.00, 90.00, 90.00 degrees
Space group P4/mmm (No. 123)
Unique sites:
1 Mg 0.0000 0.0000 0.0000 x1
2 Ta 0.5000 0.5000 0.5000 x1
3 S 0.0000 0.5000 0.5000 x2
4 Cl 0.5000 0.5000 0.0000 x1

Computed properties:
The uncorrected formation energy is -0.52 eV/atom. As for the energy above the most stable polymorph in this dataset: 0 meV per atom.


[6]
Below is a relaxed Si2NiAg crystal, with properties calculated at the PBE level.

Cell lengths 3.9831, 3.9831, 15.8191 Å; angles 90.00, 90.00, 90.00 degrees
Space group I-42d (No. 122)
Unique sites:
1 Si 0.1946 0.2500 0.1250 x8
2 Ni 0.0000 0.0000 0.0000 x4
3 Ag 0.0000 0.0000 0.5000 x4

Computed properties:
The uncorrected formation energy is 0.13 eV/atom. As for the energy above the most stable polymorph in this dataset: 145 meV per atom.


Calculated magnetic moment, 0.0000 0.0000 0.0000 0.0000 0.0540 0.0000 μB per atom (same order as the records).